Computed, not measured: a relaxed structure of FeP2Se at the PBE level of DFT.

Output
Total energy in eV per atom: -5.375
Fermi-level density of states in states/eV per atom: 0.72

```
FeP2Se
1.0
2.716 0.000 0.000
0.000 4.455 0.000
0.000 0.000 10.112
Fe P Se
2 4 2
direct
0.000 0.000 0.000
0.500 0.500 0.500
0.000 0.500 0.317
0.000 0.500 0.683
0.500 0.000 0.183
0.500 0.000 0.817
0.000 0.000 0.500
0.500 0.500 0.000
```